DFT (PBE with a Hubbard U) results for an optimized crystal structure of CrO2. Values from VASP.

```
&SYSTEM
  ibrav = 0, nat = 9, ntyp = 2
/
ATOMIC_SPECIES
Cr 52.00 Cr.upf
O 16.00 O.upf
CELL_PARAMETERS angstrom
6.924 -1.498 0.000
6.924 1.498 0.000
-0.034 0.000 4.605
ATOMIC_POSITIONS crystal
Cr 0.000 0.000 0.000
Cr 0.343 0.343 0.494
Cr 0.657 0.657 0.506
O 0.098 0.098 0.297
O 0.224 0.224 0.699
O 0.437 0.437 0.199
O 0.563 0.563 0.801
O 0.776 0.776 0.301
O 0.902 0.902 0.703
```

## Properties
The energy comes out at -66.4 eV/cell. Its symmetry is C2/m, No. 12.